First-principles (PBE) data for a relaxed structure of Pm6CSe3N2, as listed in Alexandria via LeMat-Bulk.

Values from the calculation:
Electronic total energy (eV per formula unit): -82.3
E_form (uncorrected) (kJ/mol of atoms): -140.6
Density (g/cm³): 7.4
Total moment (μB/cell): 0.00

Cell: 6.632 6.632 7.100 Å, 98.94 98.94 120.01°
Fractional coordinates of all 12 atoms:
Pm1 0.098 0.432 0.796
Pm2 0.233 0.233 0.203
Pm3 0.432 0.098 0.796
Pm4 0.568 0.902 0.204
Pm5 0.767 0.767 0.797
Pm6 0.902 0.568 0.204
C1 0.500 0.500 0.000
Se1 0.000 0.000 0.500
Se2 0.334 0.666 0.500
Se3 0.666 0.334 0.500
N1 0.167 0.833 0.000
N2 0.833 0.167 0.000

First-principles (PBE) data for a relaxed structure of Mg2Zn2InPd5, as listed in Alexandria via LeMat-Bulk.

Values from the calculation:
Electronic total energy (eV per formula unit): -39.7
ΔE_f (meV/atom): -529.7
Density (g/cm³): 8.2
Total moment (μB/cell): 0.00

Cell: 9.428 9.428 3.786 Å, 90.00 90.00 90.00°
Fractional coordinates of all 20 atoms:
Mg1 0.171 0.329 0.000
Mg2 0.329 0.829 0.000
Mg3 0.671 0.171 0.000
Mg4 0.829 0.671 0.000
Zn1 0.125 0.625 0.000
Zn2 0.375 0.125 0.000
Zn3 0.625 0.875 0.000
Zn4 0.875 0.375 0.000
In1 0.000 0.000 0.000
In2 0.500 0.500 0.000
Pd1 0.000 0.500 0.500
Pd2 0.083 0.801 0.500
Pd3 0.199 0.083 0.500
Pd4 0.301 0.583 0.500
Pd5 0.417 0.301 0.500
Pd6 0.500 0.000 0.500
Pd7 0.583 0.699 0.500
Pd8 0.699 0.417 0.500
Pd9 0.801 0.917 0.500
Pd10 0.917 0.199 0.500

First-principles (PBE) data for a relaxed structure of ZrNb6S8, as listed in Alexandria via LeMat-Bulk.

Values from the calculation:
Electronic total energy (eV per formula unit): -115.5
E_form (uncorrected) (kJ/mol of atoms): -86.7
Density (g/cm³): 5.3
Total moment (μB/cell): 0.00

Cell: 6.565 6.565 6.565 Å, 88.61 88.61 88.61°
Fractional coordinates of all 15 atoms:
Zr1 0.000 0.000 0.000
Nb1 0.200 0.553 0.410
Nb2 0.410 0.200 0.553
Nb3 0.447 0.590 0.800
Nb4 0.553 0.410 0.200
Nb5 0.590 0.800 0.447
Nb6 0.800 0.447 0.590
S1 0.134 0.381 0.763
S2 0.223 0.223 0.223
S3 0.237 0.866 0.619
S4 0.381 0.763 0.134
S5 0.619 0.237 0.866
S6 0.763 0.134 0.381
S7 0.777 0.777 0.777
S8 0.866 0.619 0.237

First-principles (PBE) data for a relaxed structure of V3TeC, as listed in Alexandria via LeMat-Bulk.

Values from the calculation:
Electronic total energy (eV per formula unit): -27.8
Energy above the most stable polymorph in this dataset (meV/atom): 2465
E_form (uncorrected) (kJ/mol of atoms): 230.9
Density (g/cm³): 3.8
Total moment (μB/cell): 9.01

Cell: 5.059 5.059 5.059 Å, 90.00 90.00 90.00°
Fractional coordinates of all 5 atoms:
V1 0.000 0.000 0.500
V2 0.000 0.500 0.000
V3 0.500 0.000 0.000
Te1 0.000 0.000 0.000
C1 0.500 0.500 0.500

First-principles (PBE) data for a relaxed structure of KTiP2S, as listed in Alexandria via LeMat-Bulk.

Values from the calculation:
Electronic total energy (eV per formula unit): -25.8
Energy above the most stable polymorph in this dataset (meV/atom): 0
E_form (uncorrected) (kJ/mol of atoms): -36.5
Density (g/cm³): 2.7
Total moment (μB/cell): 0.00

Cell: 4.792 4.792 4.876 Å, 90.00 90.00 90.00°
Fractional coordinates of all 5 atoms:
K1 0.000 0.000 0.000
Ti1 0.500 0.500 0.500
P1 0.000 0.500 0.500
P2 0.500 0.000 0.500
S1 0.500 0.500 0.000

First-principles (PBE) data for a relaxed structure of AlSiPb2Au6, as listed in Alexandria via LeMat-Bulk.

Values from the calculation:
Electronic total energy (eV per formula unit): -37.3
E_form (uncorrected) (kJ/mol of atoms): -10.5
Density (g/cm³): 12.3
Total moment (μB/cell): 0.00

Cell: 5.681 9.034 8.666 Å, 90.00 90.00 90.00°
Fractional coordinates of all 20 atoms:
Al1 0.250 0.250 0.232
Al2 0.750 0.750 0.768
Si1 0.250 0.750 0.252
Si2 0.750 0.250 0.748
Pb1 0.250 0.514 0.789
Pb2 0.250 0.986 0.789
Pb3 0.750 0.014 0.211
Pb4 0.750 0.486 0.211
Au1 0.001 0.250 0.492
Au2 0.003 0.250 0.983
Au3 0.250 0.502 0.373
Au4 0.250 0.998 0.373
Au5 0.497 0.250 0.983
Au6 0.499 0.250 0.492
Au7 0.501 0.750 0.508
Au8 0.503 0.750 0.017
Au9 0.750 0.002 0.627
Au10 0.750 0.498 0.627
Au11 0.997 0.750 0.017
Au12 0.999 0.750 0.508

- Which formula does entry 1 have?
  Pm6CSe3N2